Entry from Alexandria via LeMat-Bulk: an optimized crystal structure of Zn2FeTc (GGA-PBE).

Symmetry = Cmm2
E_form = 0.093 eV/atom
Distance to the lowest polymorph of the same formula = 86 meV per atom
Calculated volume = 13.856 A^3/atom

Geometry as POSCAR:
```
Zn2FeTc
1.0
2.613 -0.009 0.000
-0.782 2.494 0.000
0.000 0.000 8.514
Fe Tc Zn
1 1 2
Cartesian
0.000 0.000 4.263
0.916 1.242 6.299
0.000 0.000 8.500
0.916 1.242 2.222
```

Entry from Alexandria via LeMat-Bulk: an optimized crystal structure of Ba2AgI (GGA-PBE).

Symmetry = R3m
Distance to the lowest polymorph of the same formula = 6 meV per atom
Calculated volume = 44.897 A^3/atom

Geometry as POSCAR:
```
Ba2AgI
1.0
4.794 0.000 0.000
2.397 4.151 0.000
2.397 1.384 9.024
Ba Ag I
2 1 1
Cartesian
2.397 1.384 7.117
2.397 1.384 1.897
7.191 4.151 8.999
4.794 2.768 4.548
```

Entry from Alexandria via LeMat-Bulk: an optimized crystal structure of Cu3AgSb (GGA-PBE).

Symmetry = Pm-3m
Distance to the lowest polymorph of the same formula = 0 meV per atom
Calculated volume = 22.398 A^3/atom

Geometry as POSCAR:
```
Cu3AgSb
1.0
4.820 0.000 0.000
0.000 4.820 0.000
0.000 0.000 4.820
Sb Cu Ag
1 3 1
Cartesian
0.000 0.000 0.000
0.000 2.410 0.000
0.000 0.000 2.410
2.410 0.000 0.000
2.410 2.410 2.410
```

Entry from Alexandria via LeMat-Bulk: an optimized crystal structure of CaYBr2 (GGA-PBE).

Symmetry = P4/mmm
Distance to the lowest polymorph of the same formula = 413 meV per atom
Calculated volume = 25.222 A^3/atom

Geometry as POSCAR:
```
CaYBr2
1.0
5.244 0.000 0.000
0.000 5.244 0.000
0.000 0.000 3.669
Y Ca Br
1 1 2
Cartesian
0.000 2.622 1.835
2.622 0.000 1.835
0.000 0.000 0.000
2.622 2.622 0.000
```

Entry from Alexandria via LeMat-Bulk: an optimized crystal structure of Rb5Mn2S5 (GGA-PBE).

VASP energy = -54.4 eV/f.u.
Symmetry = P-1
Calculated volume = 29.472 A^3/atom

Geometry as POSCAR:
```
Rb5Mn2S5
1.0
-3.604 -2.078 -0.662
0.721 -3.260 -7.090
4.479 -11.801 -0.746
Rb Mn S
5 2 5
Cartesian
0.798 -8.570 -4.249
-0.692 -2.495 -1.798
1.024 -5.478 -1.783
0.571 -11.662 -6.715
2.288 -14.645 -6.699
0.251 -12.287 -3.026
1.344 -4.853 -5.471
-1.073 -8.685 -7.101
2.423 -11.503 -3.898
-0.828 -5.636 -4.600
2.668 -8.454 -1.397
0.000 0.000 0.000
```

Entry from Alexandria via LeMat-Bulk: an optimized crystal structure of BaSnBiO6 (GGA-PBE).

VASP energy = -52.5 eV/f.u.
Symmetry = P-31c
Calculated volume = 17.787 A^3/atom

Geometry as POSCAR:
```
BaSnBiO6
1.0
-1.389 0.502 5.446
1.679 -4.988 -2.036
11.007 2.659 2.562
Ba Sn Bi O
2 2 2 12
Cartesian
0.000 0.000 0.000
5.503 1.329 1.281
2.385 -0.663 3.593
8.911 -1.164 2.380
3.408 -2.494 1.099
7.889 0.666 4.874
1.806 -2.380 2.524
0.883 -0.976 5.032
8.286 -3.047 1.680
10.413 -0.851 0.941
3.969 -0.745 2.211
3.527 -1.655 5.054
10.181 -2.384 3.530
3.010 1.219 4.293
7.769 -0.172 0.918
1.116 0.557 2.442
7.327 -1.083 3.761
9.490 0.553 3.448
```

Which of these has the highest calculated volume? Ba2AgI